# 1
This record from Alexandria via LeMat-Bulk describes a relaxed structure of Tb2SiPd4Pt2. The functional is PBE-GGA.

The calculation puts the raw formation energy at -945 meV per atom. The value obtained for the energy is -6.227 eV/atom. As for the total magnetic moment: 0.000 μB per atom. The calculation puts the density of states at the Fermi level at 0.467 states/eV/atom.

The space group is I4/mmm (No. 139) and the conventional cell measures 6.107, 6.107 and 8.735 Å, with angles of 90.00, 90.00 and 90.00 degrees. The distinct sites, in fractional coordinates, are Tb at (0.000, 0.500, 0.250), Si at (0.000, 0.000, 0.000), Pd at (0.229, 0.229, 0.500) and Pt at (0.000, 0.000, 0.266).

# 2
This record from Alexandria via LeMat-Bulk describes a relaxed structure of TbSi2Pd5Pt. The functional is PBE-GGA.

The calculation puts the raw formation energy at -317 meV per atom. The value obtained for the energy is -5.592 eV/atom. As for the total magnetic moment: 0.000 μB per atom. The calculation puts the density of states at the Fermi level at 0.474 states/eV/atom.

The space group is P4/mmm (No. 123) and the conventional cell measures 4.280, 4.280 and 9.773 Å, with angles of 90.00, 90.00 and 90.00 degrees. The distinct sites, in fractional coordinates, are Tb at (0.000, 0.000, 0.000), Si at (0.500, 0.500, 0.234), Pd at (0.000, 0.500, 0.326), Pd at (0.500, 0.500, 0.000) and Pt at (0.500, 0.500, 0.500).

# 3
This record from Alexandria via LeMat-Bulk describes a relaxed structure of Tb3Si6Pd2Pt. The functional is PBE-GGA.

The calculation puts the raw formation energy at -535 meV per atom. The value obtained for the energy is -5.773 eV/atom. As for the total magnetic moment: 0.000 μB per atom. The calculation puts the density of states at the Fermi level at 0.290 states/eV/atom.

The space group is P-3m1 (No. 164) and the conventional cell measures 5.5522, 5.5522 and 8.3654 Å, with angles of 90.00, 90.00 and 120.00 degrees. The distinct sites, in fractional coordinates, are Tb at (0.0000, 0.0000, 0.0000), Tb at (0.3333, 0.6667, 0.5963), Si at (0.1841, 0.3682, 0.2800), Pd at (0.3333, 0.6667, 0.0339) and Pt at (0.0000, 0.0000, 0.5000).

# 4
This record from Alexandria via LeMat-Bulk describes a relaxed structure of TbSi2Pd2Pt. The functional is PBE-GGA.

The calculation puts the raw formation energy at -434 meV per atom. The value obtained for the energy is -5.751 eV/atom. As for the total magnetic moment: 0.000 μB per atom. The calculation puts the density of states at the Fermi level at 0.672 states/eV/atom.

The space group is P4/mmm (No. 123) and the conventional cell measures 4.576, 4.576 and 5.598 Å, with angles of 90.00, 90.00 and 90.00 degrees. The distinct sites, in fractional coordinates, are Tb at (0.000, 0.000, 0.000), Si at (0.000, 0.500, 0.500), Pd at (0.500, 0.500, 0.248) and Pt at (0.000, 0.000, 0.500).

# 5
This record from Alexandria via LeMat-Bulk describes a relaxed structure of Tb2Si3PdPt12. The functional is PBE-GGA.

The calculation puts the raw formation energy at -432 meV per atom. The value obtained for the energy is -6.166 eV/atom. As for the total magnetic moment: 0.000 μB per atom. The calculation puts the density of states at the Fermi level at 0.461 states/eV/atom.

The space group is R-3m (No. 166, hexagonal axes) and the conventional cell measures 8.2592, 8.2592 and 17.6728 Å, with angles of 90.00, 90.00 and 120.00 degrees. The distinct sites, in fractional coordinates, are Tb at (0.0000, 0.0000, 0.1080), Si at (0.0000, 0.5000, 0.0000), Pd at (0.0000, 0.0000, 0.5000), Pt at (0.0150, 0.5075, 0.8690) and Pt at (0.0263, 0.5131, 0.3695).

# 6
This record from Alexandria via LeMat-Bulk describes a relaxed structure of Tb2Si3PdPt4. The functional is PBE-GGA.

The calculation puts the raw formation energy at -990 meV per atom. The value obtained for the energy is -6.479 eV/atom. As for the total magnetic moment: 0.000 μB per atom. The calculation puts the density of states at the Fermi level at 0.637 states/eV/atom.

The space group is P-4m2 (No. 115) and the conventional cell measures 4.109, 4.109 and 10.615 Å, with angles of 90.00, 90.00 and 90.00 degrees. The distinct sites, in fractional coordinates, are Tb at (0.000, 0.500, 0.245), Si at (0.000, 0.000, 0.000), Si at (0.000, 0.500, 0.628), Pd at (0.500, 0.500, 0.000), Pt at (0.000, 0.000, 0.500), Pt at (0.000, 0.500, 0.846) and Pt at (0.500, 0.500, 0.500).

# 7
This record from Alexandria via LeMat-Bulk describes a relaxed structure of ThSi2PdPt5. The functional is PBE-GGA.

The calculation puts the raw formation energy at -549 meV per atom. The value obtained for the energy is -6.512 eV/atom. As for the total magnetic moment: 0.000 μB per atom. The calculation puts the density of states at the Fermi level at 0.707 states/eV/atom.

The space group is P4/mmm (No. 123) and the conventional cell measures 4.101, 4.101 and 10.523 Å, with angles of 90.00, 90.00 and 90.00 degrees. The distinct sites, in fractional coordinates, are Th at (0.000, 0.000, 0.000), Si at (0.500, 0.500, 0.223), Pd at (0.000, 0.000, 0.500), Pt at (0.000, 0.500, 0.330) and Pt at (0.500, 0.500, 0.000).

# 8
This record from Alexandria via LeMat-Bulk describes a relaxed structure of ThSiPdPt. The functional is PBE-GGA.

The calculation puts the raw formation energy at -970 meV per atom. The value obtained for the energy is -6.989 eV/atom. As for the total magnetic moment: 0.000 μB per atom. The calculation puts the density of states at the Fermi level at 0.512 states/eV/atom.

The space group is P4/nmm (No. 129, origin choice 2) and the conventional cell measures 4.055, 4.055 and 9.624 Å, with angles of 90.00, 90.00 and 90.00 degrees. The distinct sites, in fractional coordinates, are Th at (0.250, 0.250, 0.221), Si at (0.250, 0.250, 0.644), Pd at (0.250, 0.750, 0.500) and Pt at (0.250, 0.250, 0.902).

# 9
This record from Alexandria via LeMat-Bulk describes a relaxed structure of ThSi2PdPt2. The functional is PBE-GGA.

The calculation puts the raw formation energy at -947 meV per atom. The value obtained for the energy is -6.871 eV/atom. As for the total magnetic moment: 0.000 μB per atom. The calculation puts the density of states at the Fermi level at 0.691 states/eV/atom.

The space group is P-3m1 (No. 164) and the conventional cell measures 4.2674, 4.2674 and 6.7763 Å, with angles of 90.00, 90.00 and 120.00 degrees. The distinct sites, in fractional coordinates, are Th at (0.0000, 0.0000, 0.0000), Si at (0.3333, 0.6667, 0.3140), Pd at (0.0000, 0.0000, 0.5000) and Pt at (0.3333, 0.6667, 0.7039).

# 10
This record from Alexandria via LeMat-Bulk describes a relaxed structure of Th2SiPd2Pt4. The functional is PBE-GGA.

The calculation puts the raw formation energy at -972 meV per atom. The value obtained for the energy is -7.062 eV/atom. As for the total magnetic moment: 0.000 μB per atom. The calculation puts the density of states at the Fermi level at 0.447 states/eV/atom.

The space group is I4/mmm (No. 139) and the conventional cell measures 6.347, 6.347 and 8.558 Å, with angles of 90.00, 90.00 and 90.00 degrees. The distinct sites, in fractional coordinates, are Th at (0.000, 0.500, 0.250), Si at (0.000, 0.000, 0.000), Pd at (0.000, 0.000, 0.277) and Pt at (0.232, 0.232, 0.500).

# 11
This record from Alexandria via LeMat-Bulk describes a relaxed structure of Th2Si4Pd3Pt. The functional is PBE-GGA.

The calculation puts the raw formation energy at -957 meV per atom. The value obtained for the energy is -6.772 eV/atom. As for the total magnetic moment: 0.000 μB per atom. The calculation puts the density of states at the Fermi level at 0.393 states/eV/atom.

The space group is P-4m2 (No. 115) and the conventional cell measures 4.282, 4.282 and 9.872 Å, with angles of 90.00, 90.00 and 90.00 degrees. The distinct sites, in fractional coordinates, are Th at (0.000, 0.500, 0.249), Si at (0.000, 0.000, 0.000), Si at (0.000, 0.500, 0.632), Si at (0.500, 0.500, 0.000), Pd at (0.000, 0.500, 0.880), Pd at (0.500, 0.500, 0.500) and Pt at (0.000, 0.000, 0.500).

# 12
This record from Alexandria via LeMat-Bulk describes a relaxed structure of Th2Si3PdPt4. The functional is PBE-GGA.

The calculation puts the raw formation energy at -1010 meV per atom. The value obtained for the energy is -7.057 eV/atom. As for the total magnetic moment: 0.000 μB per atom. The calculation puts the density of states at the Fermi level at 0.734 states/eV/atom.

The space group is P-4m2 (No. 115) and the conventional cell measures 4.223, 4.223 and 10.412 Å, with angles of 90.00, 90.00 and 90.00 degrees. The distinct sites, in fractional coordinates, are Th at (0.000, 0.500, 0.248), Si at (0.000, 0.000, 0.000), Si at (0.000, 0.500, 0.625), Pd at (0.500, 0.500, 0.000), Pt at (0.000, 0.000, 0.500), Pt at (0.000, 0.500, 0.850) and Pt at (0.500, 0.500, 0.500).